The following is a SCAN calculation of a PBEsol-optimized structure of CuTe2I, from the Alexandria database.

abc: 8.599 4.896 12.684
angles: 90.00 116.01 90.00
Positions (direct):
Cu 0.192 0.133 0.251
Cu 0.192 0.367 0.751
Cu 0.808 0.633 0.249
Cu 0.808 0.867 0.749
Te 0.278 0.010 0.643
Te 0.278 0.490 0.143
Te 0.422 0.720 0.859
Te 0.422 0.780 0.359
Te 0.578 0.220 0.641
Te 0.578 0.280 0.141
Te 0.722 0.510 0.857
Te 0.722 0.990 0.357
I 0.093 0.115 0.891
I 0.093 0.385 0.391
I 0.907 0.615 0.609
I 0.907 0.885 0.109

The space-group type is No. 14. The calculation puts the uncorrected formation energy at -110 meV per atom.